(1)
The following is a DFT calculation (PBE) of crystalline Sc4MnTe at its relaxed geometry.

## Properties
- density (Mg/m³) = 4.5
- uncorrected formation energy (eV per atom) = -0.406

Structure (POSCAR):
```
Sc4MnTe
1.0
4.1538 -6.1671 0.0000
4.1538 6.1671 0.0000
-2.1348 0.0000 5.2064
Sc Mn Te
8 2 2
Direct
0.0611 0.7261 0.9349 Sc
0.1975 0.3463 0.6428 Sc
0.2739 0.9389 0.5651 Sc
0.3463 0.1975 0.1428 Sc
0.6537 0.8025 0.8572 Sc
0.7261 0.0611 0.4349 Sc
0.8025 0.6537 0.3572 Sc
0.9389 0.2739 0.0651 Sc
0.0005 0.9995 0.2500 Mn
0.9995 0.0005 0.7500 Mn
0.3754 0.6246 0.2500 Te
0.6246 0.3754 0.7500 Te
```

---

(2)
The following is a DFT calculation (PBE) of crystalline RuAu2F at its relaxed geometry.

## Properties
- density (Mg/m³) = 13.3
- uncorrected formation energy (eV per atom) = 0.281

Structure (POSCAR):
```
RuAu2F
1.0
6.3550 0.0000 0.0000
0.0000 6.3550 0.0000
0.0000 0.0000 6.3550
Ru Au F
4 8 4
Direct
0.0000 0.0000 0.0000 Ru
0.0000 0.5000 0.5000 Ru
0.5000 0.0000 0.5000 Ru
0.5000 0.5000 0.0000 Ru
0.2500 0.2500 0.2500 Au
0.2500 0.2500 0.7500 Au
0.2500 0.7500 0.2500 Au
0.2500 0.7500 0.7500 Au
0.7500 0.2500 0.2500 Au
0.7500 0.2500 0.7500 Au
0.7500 0.7500 0.2500 Au
0.7500 0.7500 0.7500 Au
0.0000 0.0000 0.5000 F
0.0000 0.5000 0.0000 F
0.5000 0.0000 0.0000 F
0.5000 0.5000 0.5000 F
```

---

Question: What is the uncorrected formation energy in the first record?
Answer: -0.406 eV per atom